SrCd2In8 | GGA-PBE | relaxed

The structure in CIF format:
```
data_SrCd2In8
_cell_length_a 7.4783
_cell_length_b 7.4783
_cell_length_c 6.2073
_cell_angle_alpha 90.00
_cell_angle_beta 90.00
_cell_angle_gamma 90.00
_space_group_name_H-M_alt 'P 1'
_space_group_IT_number 1
loop_
_space_group_symop_operation_xyz
'x,y,z'
loop_
_atom_site_label
_atom_site_type_symbol
_atom_site_fract_x
_atom_site_fract_y
_atom_site_fract_z
_atom_site_occupancy
Sr1 Sr 0.0000 0.0000 0.0000 1
Cd1 Cd 0.0000 0.5000 0.5000 1
Cd2 Cd 0.5000 0.0000 0.5000 1
In1 In 0.2929 0.2929 0.2452 1
In2 In 0.2929 0.2929 0.7548 1
In3 In 0.2929 0.7071 0.2452 1
In4 In 0.2929 0.7071 0.7548 1
In5 In 0.7071 0.2929 0.2452 1
In6 In 0.7071 0.2929 0.7548 1
In7 In 0.7071 0.7071 0.2452 1
In8 In 0.7071 0.7071 0.7548 1
```

## Properties
The calculation puts the formation energy at 0.0525 eV/atom. The calculation puts the total moment at 0.00 μB per cell.

---

LiTiSiRh | GGA-PBE | relaxed

The structure in CIF format:
```
data_LiTiSiRh
_cell_length_a 5.9674
_cell_length_b 5.9674
_cell_length_c 5.9674
_cell_angle_alpha 90.00
_cell_angle_beta 90.00
_cell_angle_gamma 90.00
_space_group_name_H-M_alt 'P 1'
_space_group_IT_number 1
loop_
_space_group_symop_operation_xyz
'x,y,z'
loop_
_atom_site_label
_atom_site_type_symbol
_atom_site_fract_x
_atom_site_fract_y
_atom_site_fract_z
_atom_site_occupancy
Li1 Li 0.0000 0.0000 0.0000 1
Li2 Li 0.0000 0.5000 0.5000 1
Li3 Li 0.5000 0.0000 0.5000 1
Li4 Li 0.5000 0.5000 0.0000 1
Ti1 Ti 0.2500 0.2500 0.7500 1
Ti2 Ti 0.2500 0.7500 0.2500 1
Ti3 Ti 0.7500 0.2500 0.2500 1
Ti4 Ti 0.7500 0.7500 0.7500 1
Si1 Si 0.2500 0.2500 0.2500 1
Si2 Si 0.2500 0.7500 0.7500 1
Si3 Si 0.7500 0.2500 0.7500 1
Si4 Si 0.7500 0.7500 0.2500 1
Rh1 Rh 0.0000 0.0000 0.5000 1
Rh2 Rh 0.0000 0.5000 0.0000 1
Rh3 Rh 0.5000 0.0000 0.0000 1
Rh4 Rh 0.5000 0.5000 0.5000 1
```

## Properties
The calculation puts the total moment at 0.00 μB per cell. The total energy is -6.427 eV per atom.

---

Mg2SbSe | GGA-PBE | relaxed

The structure in CIF format:
```
data_Mg2SbSe
_cell_length_a 6.6945
_cell_length_b 3.8538
_cell_length_c 7.5631
_cell_angle_alpha 90.00
_cell_angle_beta 107.06
_cell_angle_gamma 90.00
_space_group_name_H-M_alt 'P 1'
_space_group_IT_number 1
loop_
_space_group_symop_operation_xyz
'x,y,z'
loop_
_atom_site_label
_atom_site_type_symbol
_atom_site_fract_x
_atom_site_fract_y
_atom_site_fract_z
_atom_site_occupancy
Mg1 Mg 0.2395 0.0000 0.2200 1
Mg2 Mg 0.2605 0.5000 0.7800 1
Mg3 Mg 0.7395 0.5000 0.2200 1
Mg4 Mg 0.7605 0.0000 0.7800 1
Sb1 Sb 0.0000 0.0000 0.5000 1
Sb2 Sb 0.5000 0.5000 0.5000 1
Se1 Se 0.0000 0.5000 0.0000 1
Se2 Se 0.5000 0.0000 0.0000 1
```

## Properties
The calculation puts the total moment at 0.00 μB per cell. The total energy is -3.409 eV per atom.

---

Cr2SbCl | GGA-PBE | relaxed

The structure in CIF format:
```
data_Cr2SbCl
_cell_length_a 4.1399
_cell_length_b 5.6434
_cell_length_c 7.0225
_cell_angle_alpha 90.00
_cell_angle_beta 90.00
_cell_angle_gamma 90.00
_space_group_name_H-M_alt 'P 1'
_space_group_IT_number 1
loop_
_space_group_symop_operation_xyz
'x,y,z'
loop_
_atom_site_label
_atom_site_type_symbol
_atom_site_fract_x
_atom_site_fract_y
_atom_site_fract_z
_atom_site_occupancy
Cr1 Cr 0.0000 0.0000 0.2269 1
Cr2 Cr 0.0000 0.0000 0.7731 1
Cr3 Cr 0.5000 0.5000 0.2731 1
Cr4 Cr 0.5000 0.5000 0.7269 1
Sb1 Sb 0.0000 0.5000 0.0000 1
Sb2 Sb 0.5000 0.0000 0.5000 1
Cl1 Cl 0.0000 0.5000 0.5000 1
Cl2 Cl 0.5000 0.0000 0.0000 1
```

## Properties
The calculation puts the total moment at 15.99 μB per cell. The total energy is -6.072 eV per atom.

---

AcTb15Pr4 | GGA-PBE | relaxed

The structure in CIF format:
```
data_AcTb15Pr4
_cell_length_a 5.1189
_cell_length_b 5.1189
_cell_length_c 25.4417
_cell_angle_alpha 90.00
_cell_angle_beta 90.00
_cell_angle_gamma 90.00
_space_group_name_H-M_alt 'P 1'
_space_group_IT_number 1
loop_
_space_group_symop_operation_xyz
'x,y,z'
loop_
_atom_site_label
_atom_site_type_symbol
_atom_site_fract_x
_atom_site_fract_y
_atom_site_fract_z
_atom_site_occupancy
Ac1 Ac 0.0000 0.0000 0.0000 1
Tb1 Tb 0.0000 0.5000 0.1031 1
Tb2 Tb 0.0000 0.5000 0.3014 1
Tb3 Tb 0.0000 0.5000 0.5000 1
Tb4 Tb 0.0000 0.5000 0.6986 1
Tb5 Tb 0.0000 0.5000 0.8969 1
Tb6 Tb 0.5000 0.0000 0.1031 1
Tb7 Tb 0.5000 0.0000 0.3014 1
Tb8 Tb 0.5000 0.0000 0.5000 1
Tb9 Tb 0.5000 0.0000 0.6986 1
Tb10 Tb 0.5000 0.0000 0.8969 1
Tb11 Tb 0.5000 0.5000 0.0000 1
Tb12 Tb 0.5000 0.5000 0.2022 1
Tb13 Tb 0.5000 0.5000 0.4006 1
Tb14 Tb 0.5000 0.5000 0.5994 1
Tb15 Tb 0.5000 0.5000 0.7978 1
Pr1 Pr 0.0000 0.0000 0.2015 1
Pr2 Pr 0.0000 0.0000 0.4007 1
Pr3 Pr 0.0000 0.0000 0.5993 1
Pr4 Pr 0.0000 0.0000 0.7985 1
```

## Properties
The calculation puts the formation energy at 0.0249 eV/atom. The calculation puts the total moment at 0.00 μB per cell.

---

TbMgZrRh | GGA-PBE | relaxed

The structure in CIF format:
```
data_TbMgZrRh
_cell_length_a 6.9653
_cell_length_b 6.9653
_cell_length_c 6.9653
_cell_angle_alpha 90.00
_cell_angle_beta 90.00
_cell_angle_gamma 90.00
_space_group_name_H-M_alt 'P 1'
_space_group_IT_number 1
loop_
_space_group_symop_operation_xyz
'x,y,z'
loop_
_atom_site_label
_atom_site_type_symbol
_atom_site_fract_x
_atom_site_fract_y
_atom_site_fract_z
_atom_site_occupancy
Tb1 Tb 0.0000 0.0000 0.0000 1
Tb2 Tb 0.0000 0.5000 0.5000 1
Tb3 Tb 0.5000 0.0000 0.5000 1
Tb4 Tb 0.5000 0.5000 0.0000 1
Mg1 Mg 0.2500 0.2500 0.2500 1
Mg2 Mg 0.2500 0.7500 0.7500 1
Mg3 Mg 0.7500 0.2500 0.7500 1
Mg4 Mg 0.7500 0.7500 0.2500 1
Zr1 Zr 0.0000 0.0000 0.5000 1
Zr2 Zr 0.0000 0.5000 0.0000 1
Zr3 Zr 0.5000 0.0000 0.0000 1
Zr4 Zr 0.5000 0.5000 0.5000 1
Rh1 Rh 0.2500 0.2500 0.7500 1
Rh2 Rh 0.2500 0.7500 0.2500 1
Rh3 Rh 0.7500 0.2500 0.2500 1
Rh4 Rh 0.7500 0.7500 0.7500 1
```

## Properties
The calculation puts the formation energy at -0.2689 eV/atom. The calculation puts the total moment at 0.01 μB per cell.

---

TbYCuHg | GGA-PBE | relaxed

The structure in CIF format:
```
data_TbYCuHg
_cell_length_a 3.5648
_cell_length_b 3.5648
_cell_length_c 7.4369
_cell_angle_alpha 90.00
_cell_angle_beta 90.00
_cell_angle_gamma 90.00
_space_group_name_H-M_alt 'P 1'
_space_group_IT_number 1
loop_
_space_group_symop_operation_xyz
'x,y,z'
loop_
_atom_site_label
_atom_site_type_symbol
_atom_site_fract_x
_atom_site_fract_y
_atom_site_fract_z
_atom_site_occupancy
Tb1 Tb 0.0000 0.0000 0.0000 1
Y1 Y 0.0000 0.0000 0.4560 1
Cu1 Cu 0.5000 0.5000 0.2272 1
Hg1 Hg 0.5000 0.5000 0.7276 1
```

## Properties
The calculation puts the formation energy at -0.3576 eV/atom. The calculation puts the total moment at 0.00 μB per cell.

---

Ba8SiGe2 | GGA-PBE | relaxed

The structure in CIF format:
```
data_Ba8SiGe2
_cell_length_a 11.1798
_cell_length_b 11.1798
_cell_length_c 7.9146
_cell_angle_alpha 102.58
_cell_angle_beta 102.58
_cell_angle_gamma 29.24
_space_group_name_H-M_alt 'P 1'
_space_group_IT_number 1
loop_
_space_group_symop_operation_xyz
'x,y,z'
loop_
_atom_site_label
_atom_site_type_symbol
_atom_site_fract_x
_atom_site_fract_y
_atom_site_fract_z
_atom_site_occupancy
Ba1 Ba 0.0384 0.0384 0.3053 1
Ba2 Ba 0.2140 0.2140 0.8250 1
Ba3 Ba 0.3371 0.3371 0.5409 1
Ba4 Ba 0.4114 0.4114 0.0794 1
Ba5 Ba 0.5886 0.5886 0.9206 1
Ba6 Ba 0.6629 0.6629 0.4591 1
Ba7 Ba 0.7860 0.7860 0.1750 1
Ba8 Ba 0.9616 0.9616 0.6947 1
Si1 Si 0.5000 0.5000 0.5000 1
Ge1 Ge 0.1922 0.1922 0.2293 1
Ge2 Ge 0.8078 0.8078 0.7707 1
```

## Properties
The calculation puts the total moment at 0.00 μB per cell. The total energy is -3.004 eV per atom.

---

Look up the total moment of the eighth one. 0.00 μB per cell

---

The highest total moment belongs to which entry? Cr2SbCl

---

Which value of total moment does entry 2 give? 0.00 μB per cell